[1]
Density functional theory data (GGA-PBEsol) for a relaxed YCrIr3 crystal.

Summary:
The theoretical density is 10.6 g/cm3. Its formation energy is 11.4 eV/f.u. The energy is -7.02 eV per atom. As for the size of the total moment: 2.75 μB/cell. As for the volume: 22.53 Å³/atom.

Cell lengths 4.8292, 4.8292, 4.8292 Å; angles 90.00, 90.00, 90.00 degrees
Last column: nearest neighbours and their distance in Å.
Sites, in units of the cell vectors:
Y (0.0000, 0.0000, 0.0000)  6 Ir 2.41
Cr (0.5000, 0.5000, 0.5000)  12 Ir 3.41
Ir (0.0000, 0.0000, 0.5000)  2 Y 2.41
Ir (0.0000, 0.5000, 0.0000)  2 Y 2.41
Ir (0.5000, 0.0000, 0.0000)  2 Y 2.41

---

[2]
Density functional theory data (GGA-PBEsol) for a relaxed K2RbBr crystal.

Summary:
The theoretical density is 1.9 g/cm3. The uncorrected formation energy comes out at -0.481 eV/atom. The energy is -1.77 eV per atom. As for the size of the total moment: 0.00 μB/cell. As for the volume: 53.35 Å³/atom.

Cell lengths 6.7074, 6.7074, 6.7074 Å; angles 60.00, 60.00, 60.00 degrees
Last column: nearest neighbours and their distance in Å.
Sites, in units of the cell vectors:
K (0.2500, 0.2500, 0.2500)  4 Br 4.11, 4 Rb 4.11
K (0.7500, 0.7500, 0.7500)  4 Rb 4.11, 4 Br 4.11
Rb (0.0000, 0.0000, 0.0000)  8 K 4.11
Br (0.5000, 0.5000, 0.5000)  8 K 4.11

---

[3]
Density functional theory data (GGA-PBEsol) for a relaxed CrMo2Rh crystal.

Summary:
The theoretical density is 10.3 g/cm3. Its formation energy is 0.8 eV/f.u. The energy is -10.29 eV per atom. As for the size of the total moment: 0.02 μB/cell. As for the volume: 13.98 Å³/atom.

Cell lengths 4.6967, 4.6967, 4.7026 Å; angles 98.47, 98.47, 33.06 degrees
Last column: nearest neighbours and their distance in Å.
Sites, in units of the cell vectors:
Cr (0.0000, 0.0000, 0.0000)  6 Mo 2.64-2.77, 2 Cr 2.67, 4 Rh 2.70
Mo (0.2436, 0.2436, 0.7501)  3 Cr 2.64-2.77, 6 Mo 2.67-2.72, 3 Rh 2.68-2.75
Mo (0.7564, 0.7564, 0.2499)  3 Cr 2.64-2.77, 6 Mo 2.67-2.72, 3 Rh 2.68-2.75
Rh (0.5000, 0.5000, 0.5000)  2 Rh 2.67, 6 Mo 2.68-2.75, 4 Cr 2.70

---

[4]
Density functional theory data (GGA-PBEsol) for a relaxed GePdRuN2 crystal.

Summary:
The theoretical density is 7.1 g/cm3. The uncorrected formation energy comes out at 0.602 eV/atom. The energy is -7.02 eV per atom. As for the size of the total moment: 0.00 μB/cell. As for the volume: 14.50 Å³/atom.

Cell lengths 3.6843, 3.6843, 5.3422 Å; angles 90.00, 90.00, 90.00 degrees
Last column: nearest neighbours and their distance in Å.
Sites, in units of the cell vectors:
Ge (0.0000, 0.0000, 0.0000)  4 Pd 2.61
Pd (0.5000, 0.5000, 0.0000)  4 Ge 2.61, 2 Ru 2.67
Ru (0.5000, 0.5000, 0.5000)  4 N 1.84
N (0.0000, 0.5000, 0.5000)  2 Ru 1.84
N (0.5000, 0.0000, 0.5000)  2 Ru 1.84